Here is a relaxed Li2PaPt5 crystal from Alexandria. Energies are from PBE.

Computed properties:
The value obtained for the formation energy is -6.499 eV/f.u.

a = 7.777 Å, b = 7.777 Å, c = 7.777 Å
α = 148.85°, β = 148.85°, γ = 44.64°
Fractional coordinates of all 8 atoms:
Li 0.248 0.248 0.000
Li 0.752 0.752 0.000
Pa 0.500 0.500 0.000
Pt 0.000 0.000 0.000
Pt 0.140 0.640 0.500
Pt 0.360 0.860 0.500
Pt 0.640 0.140 0.500
Pt 0.860 0.360 0.500

Here is a relaxed Sr4Tb3AgSe8 crystal from Alexandria. Energies are from PBE.

Computed properties:
For the uncorrected formation energy, the calculation gives -1.7466 eV per atom.

a = 8.547 Å, b = 8.547 Å, c = 8.547 Å
α = 59.75°, β = 59.75°, γ = 59.75°
Fractional coordinates of all 16 atoms:
Sr 0.000 0.000 0.000
Sr 0.000 0.500 0.500
Sr 0.500 0.000 0.500
Sr 0.500 0.500 0.000
Tb 0.000 0.000 0.500
Tb 0.000 0.500 0.000
Tb 0.500 0.000 0.000
Ag 0.500 0.500 0.500
Se 0.239 0.745 0.745
Se 0.244 0.244 0.244
Se 0.255 0.255 0.761
Se 0.255 0.761 0.255
Se 0.745 0.239 0.745
Se 0.745 0.745 0.239
Se 0.756 0.756 0.756
Se 0.761 0.255 0.255

Here is a relaxed TlCdCuPd crystal from Alexandria. Energies are from PBE.

Computed properties:
The value obtained for the formation energy is -0.047 eV/f.u.

a = 4.679 Å, b = 4.679 Å, c = 4.679 Å
α = 60.00°, β = 60.00°, γ = 60.00°
Fractional coordinates of all 4 atoms:
Tl 0.000 0.000 0.000
Cd 0.500 0.500 0.500
Cu 0.250 0.250 0.250
Pd 0.750 0.750 0.750

Here is a relaxed SrB2OsN crystal from Alexandria. Energies are from PBE.

Computed properties:
For the uncorrected formation energy, the calculation gives 3.4396 eV per atom.

a = 4.469 Å, b = 4.469 Å, c = 4.004 Å
α = 90.00°, β = 90.00°, γ = 90.00°
Fractional coordinates of all 5 atoms:
Sr 0.000 0.000 0.000
B 0.000 0.500 0.000
B 0.500 0.000 0.000
Os 0.500 0.500 0.500
N 0.000 0.000 0.500

Here is a relaxed SrEu3Pt crystal from Alexandria. Energies are from PBE.

Computed properties:
The value obtained for the formation energy is -2.252 eV/f.u.

a = 5.858 Å, b = 5.858 Å, c = 5.858 Å
α = 90.00°, β = 90.00°, γ = 90.00°
Fractional coordinates of all 5 atoms:
Sr 0.000 0.000 0.000
Eu 0.000 0.500 0.500
Eu 0.500 0.000 0.500
Eu 0.500 0.500 0.000
Pt 0.500 0.500 0.500

Here is a relaxed NbIrCI crystal from Alexandria. Energies are from PBE.

Computed properties:
For the uncorrected formation energy, the calculation gives 0.2153 eV per atom. Its relative energy among the computed polymorphs is 0.0000 eV/atom.

a = 7.851 Å, b = 7.851 Å, c = 7.851 Å
α = 157.15°, β = 157.15°, γ = 32.53°
Fractional coordinates of all 4 atoms:
Nb 0.000 0.000 0.000
Ir 0.620 0.620 0.000
C 0.483 0.483 0.000
I 0.798 0.798 0.000

Here is a relaxed PaTe3Cl crystal from Alexandria. Energies are from PBE.

Computed properties:
For the uncorrected formation energy, the calculation gives -0.7318 eV per atom.

a = 4.778 Å, b = 9.568 Å, c = 8.137 Å
α = 90.00°, β = 106.30°, γ = 90.00°
Fractional coordinates of all 10 atoms:
Pa 0.009 0.250 0.018
Pa 0.991 0.750 0.982
Te 0.119 0.519 0.249
Te 0.119 0.981 0.249
Te 0.377 0.250 0.743
Te 0.623 0.750 0.257
Te 0.881 0.019 0.751
Te 0.881 0.481 0.751
Cl 0.405 0.750 0.801
Cl 0.595 0.250 0.199

Here is a relaxed BeP2PbF crystal from Alexandria. Energies are from PBE.

Computed properties:
For the uncorrected formation energy, the calculation gives 0.7569 eV per atom.

a = 4.636 Å, b = 4.636 Å, c = 4.978 Å
α = 90.00°, β = 90.00°, γ = 90.00°
Fractional coordinates of all 5 atoms:
Be 0.000 0.000 0.000
P 0.000 0.500 0.500
P 0.500 0.000 0.500
Pb 0.500 0.500 0.000
F 0.500 0.500 0.500

Here is a relaxed LaEuTlGe crystal from Alexandria. Energies are from PBE.

Computed properties:
The value obtained for the formation energy is -1.954 eV/f.u.

a = 5.461 Å, b = 5.461 Å, c = 5.461 Å
α = 60.00°, β = 60.00°, γ = 60.00°
Fractional coordinates of all 4 atoms:
La 0.000 0.000 0.000
Eu 0.500 0.500 0.500
Tl 0.750 0.750 0.750
Ge 0.250 0.250 0.250

Here is a relaxed Hf6Co2Rh crystal from Alexandria. Energies are from PBE.

Computed properties:
Its relative energy among the computed polymorphs is 0.0000 eV/atom. The value obtained for the formation energy is -3.592 eV/f.u.

a = 7.581 Å, b = 7.581 Å, c = 8.432 Å
α = 123.70°, β = 123.70°, γ = 75.34°
Fractional coordinates of all 18 atoms:
Hf 0.073 0.537 0.305
Hf 0.170 0.829 0.200
Hf 0.171 0.830 0.800
Hf 0.314 0.314 0.611
Hf 0.315 0.315 0.017
Hf 0.463 0.927 0.695
Hf 0.537 0.073 0.305
Hf 0.685 0.685 0.983
Hf 0.686 0.686 0.389
Hf 0.829 0.170 0.200
Hf 0.830 0.171 0.800
Hf 0.927 0.463 0.695
Co 0.156 0.156 0.156
Co 0.366 0.634 0.000
Co 0.634 0.366 0.000
Co 0.844 0.844 0.844
Rh 0.000 0.000 0.500
Rh 0.500 0.500 0.500

Here is a relaxed Be2BN crystal from Alexandria. Energies are from PBE.

Computed properties:
For the uncorrected formation energy, the calculation gives -0.5148 eV per atom. Its relative energy among the computed polymorphs is 0.1364 eV/atom.

a = 8.286 Å, b = 8.286 Å, c = 8.286 Å
α = 20.25°, β = 20.25°, γ = 20.25°
Fractional coordinates of all 8 atoms:
Be 0.000 0.000 0.000
Be 0.105 0.105 0.105
Be 0.595 0.595 0.595
Be 0.855 0.855 0.855
B 0.385 0.385 0.385
B 0.718 0.718 0.718
N 0.170 0.170 0.170
N 0.934 0.934 0.934

Here is a relaxed LiSm2TaO6 crystal from Alexandria. Energies are from PBE.

Computed properties:
For the uncorrected formation energy, the calculation gives -3.0653 eV per atom.

a = 5.790 Å, b = 5.790 Å, c = 5.790 Å
α = 58.45°, β = 58.45°, γ = 58.45°
Fractional coordinates of all 10 atoms:
Li 0.000 0.000 0.000
Sm 0.268 0.268 0.268
Sm 0.767 0.767 0.767
Ta 0.488 0.488 0.488
O 0.138 0.690 0.357
O 0.227 0.617 0.822
O 0.357 0.138 0.690
O 0.617 0.822 0.227
O 0.690 0.357 0.138
O 0.822 0.227 0.617

Here is a relaxed BaPrInPb crystal from Alexandria. Energies are from PBE.

Computed properties:
The value obtained for the formation energy is -1.530 eV/f.u.

a = 5.813 Å, b = 5.813 Å, c = 5.813 Å
α = 60.00°, β = 60.00°, γ = 60.00°
Fractional coordinates of all 4 atoms:
Ba 0.000 0.000 0.000
Pr 0.500 0.500 0.500
In 0.250 0.250 0.250
Pb 0.750 0.750 0.750

Here is a relaxed NdErBeCu crystal from Alexandria. Energies are from PBE.

Computed properties:
The value obtained for the formation energy is -0.057 eV/f.u.

a = 4.940 Å, b = 4.940 Å, c = 4.940 Å
α = 60.00°, β = 60.00°, γ = 60.00°
Fractional coordinates of all 4 atoms:
Nd 0.000 0.000 0.000
Er 0.500 0.500 0.500
Be 0.250 0.250 0.250
Cu 0.750 0.750 0.750

Here is a relaxed GdTm2Pa crystal from Alexandria. Energies are from PBE.

Computed properties:
Its relative energy among the computed polymorphs is 0.0000 eV/atom. The value obtained for the formation energy is 0.811 eV/f.u.

a = 4.859 Å, b = 4.859 Å, c = 4.894 Å
α = 90.00°, β = 90.00°, γ = 90.00°
Fractional coordinates of all 4 atoms:
Gd 0.000 0.000 0.000
Tm 0.000 0.500 0.500
Tm 0.500 0.000 0.500
Pa 0.500 0.500 0.000

Here is a relaxed ZrNi2Hg crystal from Alexandria. Energies are from PBE.

Computed properties:
The value obtained for the formation energy is 0.200 eV/f.u.

a = 7.863 Å, b = 7.863 Å, c = 7.863 Å
α = 23.91°, β = 23.91°, γ = 23.91°
Fractional coordinates of all 4 atoms:
Zr 0.000 0.000 0.000
Ni 0.254 0.254 0.254
Ni 0.746 0.746 0.746
Hg 0.500 0.500 0.500

Here is a relaxed TeRu2Br crystal from Alexandria. Energies are from PBE.

Computed properties:
For the uncorrected formation energy, the calculation gives 0.3766 eV per atom. Its relative energy among the computed polymorphs is 0.0000 eV/atom.

a = 4.426 Å, b = 4.426 Å, c = 7.694 Å
α = 117.82°, β = 117.82°, γ = 42.36°
Fractional coordinates of all 4 atoms:
Te 0.000 0.000 0.000
Ru 0.362 0.362 0.169
Ru 0.638 0.638 0.831
Br 0.000 0.000 0.500

Here is a relaxed ZnIrBr crystal from Alexandria. Energies are from PBE.

Computed properties:
For the uncorrected formation energy, the calculation gives 0.5122 eV per atom. Its relative energy among the computed polymorphs is 0.1576 eV/atom.

a = 7.021 Å, b = 6.652 Å, c = 3.116 Å
α = 83.55°, β = 70.28°, γ = 26.17°
Fractional coordinates of all 3 atoms:
Zn 0.000 0.000 0.000
Ir 0.652 0.652 0.348
Br 0.330 0.330 0.670

Here is a relaxed TbPr14Pb crystal from Alexandria. Energies are from PBE.

Computed properties:
The value obtained for the formation energy is -0.876 eV/f.u.

a = 7.330 Å, b = 7.330 Å, c = 10.407 Å
α = 90.00°, β = 90.00°, γ = 90.00°
Fractional coordinates of all 16 atoms:
Tb 0.000 0.000 0.000
Pr 0.000 0.000 0.500
Pr 0.000 0.500 0.000
Pr 0.000 0.500 0.500
Pr 0.252 0.252 0.245
Pr 0.252 0.252 0.755
Pr 0.252 0.748 0.245
Pr 0.252 0.748 0.755
Pr 0.500 0.000 0.000
Pr 0.500 0.000 0.500
Pr 0.500 0.500 0.500
Pr 0.748 0.252 0.245
Pr 0.748 0.252 0.755
Pr 0.748 0.748 0.245
Pr 0.748 0.748 0.755
Pb 0.500 0.500 0.000

Here is a relaxed Pm3TmTl4S8 crystal from Alexandria. Energies are from PBE.

Computed properties:
For the uncorrected formation energy, the calculation gives -1.4668 eV per atom.

a = 8.881 Å, b = 8.881 Å, c = 8.881 Å
α = 55.09°, β = 55.09°, γ = 55.09°
Fractional coordinates of all 16 atoms:
Pm 0.000 0.500 0.500
Pm 0.500 0.000 0.500
Pm 0.500 0.500 0.000
Tm 0.000 0.000 0.000
Tl 0.000 0.000 0.500
Tl 0.000 0.500 0.000
Tl 0.500 0.000 0.000
Tl 0.500 0.500 0.500
S 0.229 0.229 0.743
S 0.229 0.743 0.229
S 0.257 0.771 0.771
S 0.265 0.265 0.265
S 0.735 0.735 0.735
S 0.743 0.229 0.229
S 0.771 0.257 0.771
S 0.771 0.771 0.257

Here is a relaxed ScCuI2 crystal from Alexandria. Energies are from PBE.

Computed properties:
For the uncorrected formation energy, the calculation gives -0.0696 eV per atom. Its relative energy among the computed polymorphs is 0.0229 eV/atom.

a = 7.444 Å, b = 7.444 Å, c = 7.444 Å
α = 126.56°, β = 126.56°, γ = 78.96°
Fractional coordinates of all 8 atoms:
Sc 0.000 0.000 0.000
Sc 0.750 0.250 0.500
Cu 0.250 0.750 0.500
Cu 0.500 0.500 0.000
I 0.163 0.625 0.038
I 0.375 0.413 0.538
I 0.587 0.125 0.962
I 0.875 0.837 0.462

Here is a relaxed Li7PbN2 crystal from Alexandria. Energies are from PBE.

Computed properties:
For the uncorrected formation energy, the calculation gives -0.2694 eV per atom.

a = 6.331 Å, b = 6.331 Å, c = 3.920 Å
α = 90.00°, β = 90.00°, γ = 117.15°
Fractional coordinates of all 10 atoms:
Li 0.000 0.000 0.000
Li 0.142 0.457 0.000
Li 0.192 0.808 0.500
Li 0.457 0.142 0.000
Li 0.543 0.858 0.000
Li 0.808 0.192 0.500
Li 0.858 0.543 0.000
Pb 0.500 0.500 0.500
N 0.197 0.803 0.000
N 0.803 0.197 0.000

Here is a relaxed SiOs2Pt crystal from Alexandria. Energies are from PBE.

Computed properties:
For the uncorrected formation energy, the calculation gives 0.2644 eV per atom.

a = 2.773 Å, b = 2.773 Å, c = 8.723 Å
α = 90.00°, β = 90.00°, γ = 119.38°
Fractional coordinates of all 4 atoms:
Si 0.000 0.000 0.000
Os 0.500 0.500 0.222
Os 0.500 0.500 0.778
Pt 0.000 0.000 0.500

Here is a relaxed TcGeBr3 crystal from Alexandria. Energies are from PBE.

Computed properties:
For the uncorrected formation energy, the calculation gives 0.6031 eV per atom. Its relative energy among the computed polymorphs is 0.1745 eV/atom.

a = 5.439 Å, b = 5.439 Å, c = 5.439 Å
α = 90.00°, β = 90.00°, γ = 90.00°
Fractional coordinates of all 5 atoms:
Tc 0.000 0.000 0.000
Ge 0.500 0.500 0.500
Br 0.000 0.500 0.500
Br 0.500 0.000 0.500
Br 0.500 0.500 0.000